An optimized crystal structure of LiTb3Ni8, computed with PBE.

Structure (POSCAR):
```
LiTb3Ni8
1.0
2.4900 1.4376 8.1505
-2.4900 1.4376 8.1505
0.0000 -2.8752 8.1505
Li Tb Ni
1 3 8
Direct
0.0000 0.0000 0.0000
0.3633 0.3633 0.3633
0.4924 0.4924 0.4924
0.8789 0.8789 0.8789
0.1824 0.1824 0.1824
0.4320 0.9315 0.9315
0.4347 0.4347 0.9289
0.4347 0.9288 0.4347
0.6819 0.6819 0.6819
0.9288 0.4347 0.4347
0.9315 0.4320 0.9315
0.9315 0.9315 0.4320
```

Calculated values
Total moment   0.07 Bohr magnetons per cell
Final energy   -5.419 eV per atom


An optimized crystal structure of LiTbNi, computed with PBE.

Structure (POSCAR):
```
LiTbNi
1.0
0.0000 3.1471 3.1471
3.1471 0.0000 3.1471
3.1471 3.1471 0.0000
Li Tb Ni
1 1 1
Direct
0.0000 0.0000 0.0000
0.5000 0.5000 0.5000
0.2500 0.2500 0.2500
```

Calculated values
Total moment   0.00 Bohr magnetons per cell
Relative energy among the computed polymorphs   0.000 eV per atom


total moment of number 2 (LiTbNi)?
0.00 Bohr magnetons per cell